[1]
This record from Alexandria via LeMat-Bulk describes an optimized crystal structure of TbY3Bi4. The functional is PBE.

Cell lengths 7.7683, 7.7683, 4.4871 Å; angles 90.00, 90.00, 109.46 degrees
Closest atoms and distances in Å follow each position.
Atoms (fractional coordinates):
Tb  0.0000  0.0000  0.0000  6 Bi 3.17
Y  0.0000  0.5000  0.5000  6 Bi 3.17
Y  0.5000  0.0000  0.5000  6 Bi 3.17
Y  0.5000  0.5000  0.0000  6 Bi 3.17
Bi  0.2503  0.2503  0.5000  4 Y 3.17, 2 Tb 3.17
Bi  0.2501  0.7499  0.0000  5 Y 3.17, 1 Tb 3.17
Bi  0.7499  0.2501  0.0000  5 Y 3.17, 1 Tb 3.17
Bi  0.7497  0.7497  0.5000  4 Y 3.17, 2 Tb 3.17

Computed properties:
total DFT energy (no corrections) = -5.836 eV per atom
energy of formation = -893 meV/atom

=====

[2]
This record from Alexandria via LeMat-Bulk describes an optimized crystal structure of Cd2AgGeTe4. The functional is PBE.

Cell lengths 7.9748, 7.9748, 7.9748 Å; angles 131.36, 131.36, 71.24 degrees
Closest atoms and distances in Å follow each position.
Atoms (fractional coordinates):
Cd  0.2500  0.7500  0.5000  4 Te 2.87
Cd  0.7500  0.2500  0.5000  4 Te 2.87
Ag  0.0000  0.0000  0.0000  4 Te 2.80
Ge  0.5000  0.5000  0.0000  4 Te 2.79
Te  0.1307  0.6289  0.0000  1 Ge 2.79, 1 Ag 2.80, 2 Cd 2.87
Te  0.3711  0.3711  0.5018  1 Ge 2.79, 1 Ag 2.80, 2 Cd 2.87
Te  0.6289  0.1307  0.0000  1 Ge 2.79, 1 Ag 2.80, 2 Cd 2.87
Te  0.8693  0.8693  0.4982  1 Ge 2.79, 1 Ag 2.80, 2 Cd 2.87

Computed properties:
uncorrected formation energy = -5.07 kcal/mol of atoms
total DFT energy (no corrections) = -2.953 eV per atom

=====

[3]
This record from Alexandria via LeMat-Bulk describes an optimized crystal structure of TaNiPt2. The functional is PBE.

Cell lengths 4.7481, 4.7481, 2.8451 Å; angles 90.00, 90.00, 109.21 degrees
Closest atoms and distances in Å follow each position.
Atoms (fractional coordinates):
Ta  0.0000  0.0000  0.0000  2 Ni 2.75, 8 Pt 2.77, 2 Ta 2.85
Ni  0.5000  0.5000  0.0000  2 Ta 2.75, 8 Pt 2.77, 2 Ni 2.85
Pt  0.0000  0.5000  0.5000  4 Pt 2.75-2.85, 4 Ta 2.77, 4 Ni 2.77
Pt  0.5000  0.0000  0.5000  4 Pt 2.75-2.85, 4 Ta 2.77, 4 Ni 2.77

Computed properties:
total DFT energy (no corrections) = -7.834 eV per atom
energy of formation = -405 meV/atom

=====

[4]
This record from Alexandria via LeMat-Bulk describes an optimized crystal structure of Er5Co2Ag. The functional is PBE.

Cell lengths 8.4239, 8.4239, 8.4239 Å; angles 127.24, 127.24, 77.86 degrees
Closest atoms and distances in Å follow each position.
Atoms (fractional coordinates):
Er  0.0000  0.0000  0.0000  4 Co 2.91
Er  0.0262  0.5262  0.8200  3 Co 2.78-2.84
Er  0.2062  0.0262  0.5000  3 Co 2.78-2.84
Er  0.2938  0.7938  0.8200  3 Co 2.78-2.84
Er  0.4738  0.2938  0.5000  3 Co 2.78-2.84
Er  0.5000  0.5000  0.0000  4 Co 2.91
Er  0.5262  0.7062  0.5000  3 Co 2.78-2.84
Er  0.7062  0.2062  0.1800  3 Co 2.78-2.84
Er  0.7938  0.9738  0.5000  3 Co 2.78-2.84
Er  0.9738  0.4738  0.1800  3 Co 2.78-2.84
Co  0.1368  0.3632  0.5000  8 Er 2.78-2.91, 1 Co 2.90
Co  0.3632  0.8632  0.2263  8 Er 2.78-2.91, 1 Co 2.90
Co  0.6368  0.1368  0.7737  8 Er 2.78-2.91, 1 Co 2.90
Co  0.8632  0.6368  0.5000  8 Er 2.78-2.91, 1 Co 2.90
Ag  0.2500  0.2500  0.0000  10 Er 3.20-3.28
Ag  0.7500  0.7500  0.0000  10 Er 3.20-3.28

Computed properties:
total DFT energy (no corrections) = -5.240 eV per atom
energy of formation = -255 meV/atom

=====

[5]
This record from Alexandria via LeMat-Bulk describes an optimized crystal structure of Th2SbIr. The functional is PBE.

Cell lengths 7.8721, 7.8721, 7.8721 Å; angles 31.13, 31.13, 31.13 degrees
Closest atoms and distances in Å follow each position.
Atoms (fractional coordinates):
Th  0.2374  0.2374  0.2374  3 Ir 2.91, 3 Sb 3.25
Th  0.7626  0.7626  0.7626  3 Ir 2.91, 3 Sb 3.25
Sb  0.0000  0.0000  0.0000  6 Th 3.25
Ir  0.5000  0.5000  0.5000  6 Th 2.91

Computed properties:
uncorrected formation energy = -21.56 kcal/mol of atoms
total DFT energy (no corrections) = -7.891 eV per atom

=====

Please write out number 1 again, unchanged.
This record from Alexandria via LeMat-Bulk describes an optimized crystal structure of TbY3Bi4. The functional is PBE.

Cell lengths 7.7683, 7.7683, 4.4871 Å; angles 90.00, 90.00, 109.46 degrees
Closest atoms and distances in Å follow each position.
Atoms (fractional coordinates):
Tb  0.0000  0.0000  0.0000  6 Bi 3.17
Y  0.0000  0.5000  0.5000  6 Bi 3.17
Y  0.5000  0.0000  0.5000  6 Bi 3.17
Y  0.5000  0.5000  0.0000  6 Bi 3.17
Bi  0.2503  0.2503  0.5000  4 Y 3.17, 2 Tb 3.17
Bi  0.2501  0.7499  0.0000  5 Y 3.17, 1 Tb 3.17
Bi  0.7499  0.2501  0.0000  5 Y 3.17, 1 Tb 3.17
Bi  0.7497  0.7497  0.5000  4 Y 3.17, 2 Tb 3.17

Computed properties:
total DFT energy (no corrections) = -5.836 eV per atom
energy of formation = -893 meV/atom

=====

The lowest total DFT energy (no corrections) belongs to which entry?
Th2SbIr